VASP calculation (PBE-GGA) on a relaxed MgTi2PW crystal.

Computed properties:
* total moment: 0.00 μB per atom
* calculated density: 6.0 g/cm³
* E_form: 0.4604 eV per atom
* symmetry: P4/mmm (123)

Lattice parameters (Å, degrees): 4.5296 4.5296 4.5094 90.00 90.00 90.00
Fractional positions:
Mg: 0.0000 0.0000 0.0000
Ti: 0.0000 0.5000 0.5000
Ti: 0.5000 0.0000 0.5000
P: 0.0000 0.0000 0.5000
W: 0.5000 0.5000 0.0000


VASP calculation (PBE-GGA) on a relaxed MgTlP crystal.

Computed properties:
* total moment: 0.00 μB per atom
* calculated density: 5.4 g/cm³
* E_form: -0.1807 eV per atom
* symmetry: P3m1 (156)

Lattice parameters (Å, degrees): 4.1978 4.1978 5.1929 90.00 90.00 120.00
Fractional positions:
Mg: 0.0000 0.0000 0.0000
Tl: 0.3333 0.6667 0.4870
P: 0.6667 0.3333 0.1215


VASP calculation (PBE-GGA) on a relaxed MgTl3P crystal.

Computed properties:
* total moment: 0.00 μB per atom
* calculated density: 6.9 g/cm³
* E_form: 0.6305 eV per atom
* symmetry: Pm-3m (221)

Lattice parameters (Å, degrees): 5.4507 5.4507 5.4507 90.00 90.00 90.00
Fractional positions:
Mg: 0.0000 0.0000 0.0000
Tl: 0.0000 0.0000 0.5000
Tl: 0.0000 0.5000 0.0000
Tl: 0.5000 0.0000 0.0000
P: 0.5000 0.5000 0.5000


VASP calculation (PBE-GGA) on a relaxed MgTl4P crystal.

Computed properties:
* total moment: 0.00 μB per atom
* calculated density: 8.1 g/cm³
* E_form: 0.4389 eV per atom
* symmetry: F-43m (216)

Lattice parameters (Å, degrees): 6.3197 6.3197 6.3197 60.00 60.00 60.00
Fractional positions:
Mg: 0.0000 0.0000 0.0000
Tl: 0.3755 0.3755 0.3755
Tl: 0.3755 0.3755 0.8734
Tl: 0.3755 0.8734 0.3755
Tl: 0.8734 0.3755 0.3755
P: 0.7500 0.7500 0.7500


VASP calculation (PBE-GGA) on a relaxed Mg2TlP crystal.

Computed properties:
* total moment: 0.00 μB per atom
* calculated density: 5.3 g/cm³
* E_form: -0.1854 eV per atom
* symmetry: Imm2 (44)

Lattice parameters (Å, degrees): 6.7798 6.7798 6.7798 148.65 146.24 46.74
Fractional positions:
Mg: 0.0000 0.0000 0.0000
Mg: 0.6861 0.1861 0.5000
Tl: 0.3076 0.8076 0.5000
P: 0.5334 0.5334 0.0000


VASP calculation (PBE-GGA) on a relaxed MgTlP crystal.

Computed properties:
* total moment: 0.00 μB per atom
* calculated density: 6.0 g/cm³
* E_form: -0.2919 eV per atom
* symmetry: P4/nmm (129)

Lattice parameters (Å, degrees): 4.5189 4.5189 7.0831 90.00 90.00 90.00
Fractional positions:
Mg: 0.2500 0.7500 0.0000
Mg: 0.7500 0.2500 0.0000
Tl: 0.2500 0.2500 0.3640
Tl: 0.7500 0.7500 0.6360
P: 0.2500 0.2500 0.8061
P: 0.7500 0.7500 0.1939


> Look up the calculated density of the first one.

6.0 g/cm³